Record 1
# AcTb2Tm (GGA-PBE, optimized geometry)
# - energy of formation (eV per atom) = 0.16
# - excess energy over the best structure of this formula in the dataset (eV/atom) = 0.0986
data_AcTb2Tm
_cell_length_a 8.219
_cell_length_b 8.219
_cell_length_c 8.219
_cell_angle_alpha 90.00
_cell_angle_beta 90.00
_cell_angle_gamma 90.00
_space_group_name_H-M_alt 'F m -3 m'
_space_group_IT_number 225
_space_group_name_Hall '-F 4 2 3'
loop_
_atom_site_label
_atom_site_type_symbol
_atom_site_fract_x
_atom_site_fract_y
_atom_site_fract_z
Ac1 Ac 0.000 0.000 0.000
Tb1 Tb 0.250 0.250 0.250
Tm1 Tm 0.000 0.000 0.500

***

Record 2
# Ac2Tb5Tm6 (GGA-PBE, optimized geometry)
# - energy of formation (eV per atom) = 0.12
data_Ac2Tb5Tm6
_cell_length_a 11.842
_cell_length_b 20.245
_cell_length_c 3.621
_cell_angle_alpha 90.00
_cell_angle_beta 90.00
_cell_angle_gamma 90.00
_space_group_name_H-M_alt 'P b a m'
_space_group_IT_number 55
loop_
_space_group_symop_operation_xyz
'x,y,z'
'-x,-y,-z'
'-x,-y,z'
'x,y,-z'
'x+1/2,-y+1/2,-z'
'-x+1/2,y+1/2,z'
'-x+1/2,y+1/2,-z'
'x+1/2,-y+1/2,z'
loop_
_atom_site_label
_atom_site_type_symbol
_atom_site_fract_x
_atom_site_fract_y
_atom_site_fract_z
Ac1 Ac 0.161 0.223 0.000
Tb1 Tb 0.000 0.500 0.500
Tb2 Tb 0.100 0.783 0.500
Tb3 Tb 0.200 0.052 0.500
Tm1 Tm 0.060 0.926 0.000
Tm2 Tm 0.074 0.638 0.000
Tm3 Tm 0.183 0.382 0.500

***

Record 3
# Ac2Tb7Tm2 (GGA-PBE, optimized geometry)
# - energy of formation (eV per atom) = 0.18
data_Ac2Tb7Tm2
_cell_length_a 11.606
_cell_length_b 11.558
_cell_length_c 6.224
_cell_angle_alpha 90.00
_cell_angle_beta 114.35
_cell_angle_gamma 90.00
_space_group_name_H-M_alt 'C 1 2/m 1'
_space_group_IT_number 12
loop_
_space_group_symop_operation_xyz
'x,y,z'
'-x,-y,-z'
'-x,y,-z'
'x,-y,z'
'x+1/2,y+1/2,z'
'-x+1/2,-y+1/2,-z'
'-x+1/2,y+1/2,-z'
'x+1/2,-y+1/2,z'
loop_
_atom_site_label
_atom_site_type_symbol
_atom_site_fract_x
_atom_site_fract_y
_atom_site_fract_z
Ac1 Ac 0.000 0.211 0.000
Tb1 Tb 0.000 0.000 0.500
Tb2 Tb 0.097 0.500 0.322
Tb3 Tb 0.172 0.233 0.662
Tm1 Tm 0.247 0.500 0.926

***

Record 4
# AcTb4Tm (GGA-PBE, optimized geometry)
# - energy of formation (eV per atom) = 0.05
# - excess energy over the best structure of this formula in the dataset (eV/atom) = 0.0000
data_AcTb4Tm
_cell_length_a 5.098
_cell_length_b 15.416
_cell_length_c 5.123
_cell_angle_alpha 90.00
_cell_angle_beta 90.00
_cell_angle_gamma 90.00
_space_group_name_H-M_alt 'C m m m'
_space_group_IT_number 65
_space_group_name_Hall '-C 2 2'
loop_
_atom_site_label
_atom_site_type_symbol
_atom_site_fract_x
_atom_site_fract_y
_atom_site_fract_z
Ac1 Ac 0.000 0.000 0.000
Tb1 Tb 0.000 0.169 0.500
Tb2 Tb 0.000 0.329 0.000
Tm1 Tm 0.000 0.500 0.500

***

Record 5
# AcTbTm (GGA-PBE, optimized geometry)
# - energy of formation (eV per atom) = 0.07
# - excess energy over the best structure of this formula in the dataset (eV/atom) = 0.0058
data_AcTbTm
_cell_length_a 6.475
_cell_length_b 11.972
_cell_length_c 6.184
_cell_angle_alpha 90.00
_cell_angle_beta 118.30
_cell_angle_gamma 90.00
_space_group_name_H-M_alt 'P 1 21/c 1'
_space_group_IT_number 14
loop_
_space_group_symop_operation_xyz
'x,y,z'
'-x,-y,-z'
'-x,y+1/2,-z+1/2'
'x,-y+1/2,z+1/2'
loop_
_atom_site_label
_atom_site_type_symbol
_atom_site_fract_x
_atom_site_fract_y
_atom_site_fract_z
Ac1 Ac 0.170 0.133 0.157
Tb1 Tb 0.187 0.615 0.015
Tm1 Tm 0.483 0.617 0.660

***

Record 6
# AcTb6Tm12 (GGA-PBE, optimized geometry)
# - energy of formation (eV per atom) = 0.43
data_AcTb6Tm12
_cell_length_a 14.8858
_cell_length_b 14.8858
_cell_length_c 10.0714
_cell_angle_alpha 90.00
_cell_angle_beta 90.00
_cell_angle_gamma 120.00
_space_group_name_H-M_alt 'R -3 m'
_space_group_IT_number 166
_space_group_name_Hall '-R 3 2"'
loop_
_atom_site_label
_atom_site_type_symbol
_atom_site_fract_x
_atom_site_fract_y
_atom_site_fract_z
Ac1 Ac 0.0000 0.0000 0.0000
Tb1 Tb 0.0442 0.5221 0.2146
Tm1 Tm 0.0000 0.3896 0.5000
Tm2 Tm 0.0727 0.1455 0.3083

***

Record 7
# AcTb3Tm (GGA-PBE, optimized geometry)
# - energy of formation (eV per atom) = 0.16
data_AcTb3Tm
_cell_length_a 18.346
_cell_length_b 4.888
_cell_length_c 8.593
_cell_angle_alpha 90.00
_cell_angle_beta 112.19
_cell_angle_gamma 90.00
_space_group_name_H-M_alt 'C 1 2/m 1'
_space_group_IT_number 12
loop_
_space_group_symop_operation_xyz
'x,y,z'
'-x,-y,-z'
'-x,y,-z'
'x,-y,z'
'x+1/2,y+1/2,z'
'-x+1/2,-y+1/2,-z'
'-x+1/2,y+1/2,-z'
'x+1/2,-y+1/2,z'
loop_
_atom_site_label
_atom_site_type_symbol
_atom_site_fract_x
_atom_site_fract_y
_atom_site_fract_z
Ac1 Ac 0.115 0.000 0.148
Tb1 Tb 0.057 0.000 0.699
Tb2 Tb 0.085 0.500 0.445
Tb3 Tb 0.227 0.000 0.629
Tm1 Tm 0.189 0.500 0.889

***

Record 8
# AcTbTm (GGA-PBE, optimized geometry)
# - energy of formation (eV per atom) = 0.07
# - excess energy over the best structure of this formula in the dataset (eV/atom) = 0.0000
data_AcTbTm
_cell_length_a 3.722
_cell_length_b 3.722
_cell_length_c 15.288
_cell_angle_alpha 90.00
_cell_angle_beta 90.00
_cell_angle_gamma 90.00
_space_group_name_H-M_alt 'I 4 m m'
_space_group_IT_number 107
_space_group_name_Hall 'I 4 -2'
loop_
_atom_site_label
_atom_site_type_symbol
_atom_site_fract_x
_atom_site_fract_y
_atom_site_fract_z
Ac1 Ac 0.000 0.000 0.000
Tb1 Tb 0.000 0.000 0.675
Tm1 Tm 0.000 0.000 0.328

***

Record 9
# AcTbTm (GGA-PBE, optimized geometry)
# - energy of formation (eV per atom) = 0.87
# - excess energy over the best structure of this formula in the dataset (eV/atom) = 0.8039
data_AcTbTm
_cell_length_a 4.620
_cell_length_b 4.620
_cell_length_c 6.034
_cell_angle_alpha 90.00
_cell_angle_beta 90.00
_cell_angle_gamma 90.00
_space_group_name_H-M_alt 'P 4/m m m'
_space_group_IT_number 123
_space_group_name_Hall '-P 4 2'
loop_
_atom_site_label
_atom_site_type_symbol
_atom_site_fract_x
_atom_site_fract_y
_atom_site_fract_z
Ac1 Ac 0.000 0.000 0.000
Tb1 Tb 0.500 0.500 0.500
Tm1 Tm 0.500 0.500 0.000

***

Record 10
# AcTb15Tm4 (GGA-PBE, optimized geometry)
# - energy of formation (eV per atom) = 0.03
data_AcTb15Tm4
_cell_length_a 5.040
_cell_length_b 5.040
_cell_length_c 25.245
_cell_angle_alpha 90.00
_cell_angle_beta 90.00
_cell_angle_gamma 90.00
_space_group_name_H-M_alt 'P 4/m m m'
_space_group_IT_number 123
_space_group_name_Hall '-P 4 2'
loop_
_atom_site_label
_atom_site_type_symbol
_atom_site_fract_x
_atom_site_fract_y
_atom_site_fract_z
Ac1 Ac 0.000 0.000 0.000
Tb1 Tb 0.000 0.500 0.106
Tb2 Tb 0.000 0.500 0.303
Tb3 Tb 0.000 0.500 0.500
Tb4 Tb 0.500 0.500 0.000
Tb5 Tb 0.500 0.500 0.205
Tb6 Tb 0.500 0.500 0.401
Tm1 Tm 0.000 0.000 0.204
Tm2 Tm 0.000 0.000 0.401

***

Record 11
# Ac2Tb7Tm3 (GGA-PBE, optimized geometry)
# - energy of formation (eV per atom) = 0.11
data_Ac2Tb7Tm3
_cell_length_a 6.396
_cell_length_b 3.581
_cell_length_c 17.730
_cell_angle_alpha 90.00
_cell_angle_beta 96.38
_cell_angle_gamma 90.00
_space_group_name_H-M_alt 'P 1 2/m 1'
_space_group_IT_number 10
loop_
_space_group_symop_operation_xyz
'x,y,z'
'-x,-y,-z'
'-x,y,-z'
'x,-y,z'
loop_
_atom_site_label
_atom_site_type_symbol
_atom_site_fract_x
_atom_site_fract_y
_atom_site_fract_z
Ac1 Ac 0.060 0.000 0.174
Tb1 Tb 0.000 0.500 0.500
Tb2 Tb 0.232 0.000 0.664
Tb3 Tb 0.261 0.000 0.998
Tb4 Tb 0.280 0.500 0.342
Tm1 Tm 0.451 0.500 0.842
Tm2 Tm 0.500 0.000 0.500

***

Record 12
# AcTb4Tm15 (GGA-PBE, optimized geometry)
# - energy of formation (eV per atom) = 0.04
data_AcTb4Tm15
_cell_length_a 4.987
_cell_length_b 4.987
_cell_length_c 24.915
_cell_angle_alpha 90.00
_cell_angle_beta 90.00
_cell_angle_gamma 90.00
_space_group_name_H-M_alt 'P 4/m m m'
_space_group_IT_number 123
_space_group_name_Hall '-P 4 2'
loop_
_atom_site_label
_atom_site_type_symbol
_atom_site_fract_x
_atom_site_fract_y
_atom_site_fract_z
Ac1 Ac 0.000 0.000 0.000
Tb1 Tb 0.000 0.000 0.203
Tb2 Tb 0.000 0.000 0.401
Tm1 Tm 0.000 0.500 0.105
Tm2 Tm 0.000 0.500 0.303
Tm3 Tm 0.000 0.500 0.500
Tm4 Tm 0.500 0.500 0.000
Tm5 Tm 0.500 0.500 0.204
Tm6 Tm 0.500 0.500 0.401

***

Sequential D(E_F) output: 30.5; 37.2; 34.0; 18.3; 15.2; 68.6; 30.1; 8.3; 4.6; 27.7; 17.4; 28.1 states/eV per cell